The following is a GGA-PBE calculation of crystalline Ca2CuSbO6 at its relaxed geometry, from Alexandria via LeMat-Bulk.

The uncorrected formation energy is -18.8 eV/f.u. The value obtained for the energy above the most stable polymorph in this dataset is 0 meV/atom. Its crystal system is monoclinic.

extended XYZ file:
```
20
Lattice="4.954 0.000 -0.021 0.000 5.337 0.000 -0.063 0.000 9.712" Properties=species:S:1:pos:R:3 pbc="T T T"
Ca 0.187 5.092 2.401
Ca 2.632 2.913 7.246
Ca 4.704 0.245 7.290
Ca 2.259 2.424 2.445
Cu 2.477 0.000 -0.011
Cu -0.032 2.668 4.856
Sb 2.445 0.000 4.845
Sb 0.000 2.668 0.000
O 1.487 3.912 0.667
O 3.932 4.093 5.512
O 3.403 1.425 9.024
O 0.958 1.244 4.178
O 1.282 3.798 4.126
O 3.728 4.207 8.971
O 3.608 1.539 5.565
O 1.163 1.130 0.720
O 4.416 2.816 1.856
O 1.907 5.189 6.723
O 0.475 2.521 7.835
O 2.984 0.148 2.968
```

---

The following is a GGA-PBE calculation of crystalline CaCu3Sb4O12 at its relaxed geometry, from Alexandria via LeMat-Bulk.

The uncorrected formation energy is -24.9 eV/f.u. Its crystal system is cubic.

extended XYZ file:
```
20
Lattice="-3.930 3.930 3.930 3.930 -3.930 3.930 3.930 3.930 -3.930" Properties=species:S:1:pos:R:3 pbc="T T T"
Ca 0.000 0.000 0.000
Cu 0.000 3.930 0.000
Cu 3.930 0.000 0.000
Cu 0.000 0.000 3.930
Sb 1.965 1.965 1.965
Sb -1.965 1.965 1.965
Sb 1.965 -1.965 1.965
Sb 1.965 1.965 -1.965
O -1.565 3.930 2.564
O 5.495 0.000 1.366
O 1.565 3.930 2.564
O 1.366 5.495 0.000
O 3.930 2.564 -1.565
O 0.000 1.366 2.365
O 1.366 2.365 0.000
O 0.000 1.366 5.495
O 2.365 0.000 1.366
O 2.564 -1.565 3.930
O 3.930 2.564 1.565
O 2.564 1.565 3.930
```